Entry 1:
{"formula": "BeAsSe2Br", "functional": "PBEsol", "state": "relaxed", "lattice": [[4.362, 0.000, 0.000], [0.000, 4.362, 0.000], [0.000, 0.000, 5.146]], "species": ["Be", "Se", "As", "Se", "Br"], "fractional_positions": [[0.000, 0.000, 0.000], [0.000, 0.500, 0.000], [0.000, 0.000, 0.500], [0.500, 0.000, 0.000], [0.500, 0.500, 0.500]], "relative_energy_ev_per_fu": 0.00, "raw_formation_energy_ev_per_atom": 0.35, "rho_g_cm3": 5.5}



Entry 2:
{"formula": "BeTeAsBr2", "functional": "PBEsol", "state": "relaxed", "lattice": [[5.409, 0.000, 0.000], [0.000, 5.469, 0.000], [0.000, 0.000, 5.469]], "species": ["Be", "As", "Br", "Br", "Te"], "fractional_positions": [[0.500, 0.500, 0.500], [0.500, 0.000, 0.000], [0.000, 0.500, 0.000], [0.000, 0.000, 0.500], [0.000, 0.000, 0.000]], "raw_formation_energy_ev_per_atom": 0.90, "rho_g_cm3": 3.8}



Entry 3:
{"formula": "BeAs3C", "functional": "PBEsol", "state": "relaxed", "lattice": [[-0.734, 2.900, -3.116], [-3.825, 0.938, 1.774], [1.868, 3.061, 2.408]], "species": ["As", "As", "C", "As", "Be"], "fractional_positions": [[0.000, 0.000, 0.500], [0.500, 0.000, 0.000], [0.500, 0.500, 0.500], [0.000, 0.500, 0.000], [0.000, 0.000, 0.000]], "delta_e_f_ev_per_atom": 1.64, "rho_g_cm3": 5.1}



Entry 4:
{"formula": "BeAsPd2C", "functional": "PBEsol", "state": "relaxed", "lattice": [[3.742, 0.000, 0.000], [0.000, 4.642, 0.000], [0.000, 0.000, 4.642]], "species": ["Pd", "Be", "C", "Pd", "As"], "fractional_positions": [[0.000, 0.500, 0.000], [0.500, 0.500, 0.500], [0.500, 0.000, 0.000], [0.000, 0.000, 0.500], [0.000, 0.000, 0.000]], "delta_e_f_ev_per_atom": 1.30, "rho_g_cm3": 6.4}



Entry 5:
{"formula": "BeAsCSe2", "functional": "PBEsol", "state": "relaxed", "lattice": [[-2.558, -1.075, -1.904], [3.086, -1.672, -3.203], [0.077, -4.180, 2.258]], "species": ["Se", "As", "Be", "C", "Se"], "fractional_positions": [[0.000, 0.500, 0.000], [0.500, 0.500, 0.500], [0.000, 0.000, 0.000], [0.500, 0.000, 0.000], [0.000, 0.000, 0.500]], "raw_formation_energy_ev_per_atom": 0.88, "rho_g_cm3": 5.5}



Entry 6:
{"formula": "Ca2BeAs", "functional": "PBEsol", "state": "relaxed", "lattice": [[-2.538, 2.998, 1.424], [-3.318, -2.249, -1.180], [2.829, -2.647, 4.486]], "species": ["As", "Be", "Ca", "Ca"], "fractional_positions": [[0.500, 0.500, 0.000], [0.250, 0.750, 0.500], [0.750, 0.250, 0.500], [0.000, 0.000, 0.000]], "relative_energy_ev_per_fu": 0.00, "delta_e_f_ev_per_atom": -0.12, "rho_g_cm3": 3.0}